## MoSe2NF (PBE with a Hubbard U)

Data for an optimized crystal structure of MoSe2NF.

CIF file:
```
data_MoSe2NF
_cell_length_a 4.613
_cell_length_b 4.613
_cell_length_c 4.055
_cell_angle_alpha 90.00
_cell_angle_beta 90.00
_cell_angle_gamma 90.00
_symmetry_space_group_name_H-M 'P 4/m m m'
_symmetry_Int_Tables_number 123
_symmetry_space_group_name_Hall '-P 4 2'
loop_
_atom_site_label
_atom_site_type_symbol
_atom_site_fract_x
_atom_site_fract_y
_atom_site_fract_z
_atom_site_occupancy
Mo1 Mo 0.000 0.000 0.000 1
Se1 Se 0.000 0.500 0.500 1
N1 N 0.500 0.500 0.000 1
F1 F 0.500 0.500 0.500 1
```

Results
- Magnetic moment: 1.53 μB/cell
- Calculated total energy: -3.663 eV/atom
- N(E_F): 1.2 states/eV/f.u.